# meta-GGA SCAN MnTlCl2, single point on PBEsol structure
data_MnTlCl2
_chemical_formula_sum 'Mn2 Tl2 Cl4'
_space_group_name_H-M_alt 'C 1 2/m 1'
_space_group_IT_number 12
_cell_length_a 7.425
_cell_length_b 7.439
_cell_length_c 3.290
_cell_angle_alpha 90.00
_cell_angle_beta 90.51
_cell_angle_gamma 90.00
loop_
_space_group_symop_operation_xyz
'x,y,z'
'-x,-y,-z'
'-x,y,-z'
'x,-y,z'
'x+1/2,y+1/2,z'
'-x+1/2,-y+1/2,-z'
'-x+1/2,y+1/2,-z'
'x+1/2,-y+1/2,z'
loop_
_atom_site_label
_atom_site_fract_x
_atom_site_fract_y
_atom_site_fract_z
_atom_site_occupancy
Mn1 0.000 0.000 0.000 1
Tl1 0.000 0.500 0.000 1
Cl1 0.250 0.250 0.500 1
# - Crystal system: monoclinic
# - E: -27.198 eV per atom
# - V: 182 Å³/cell
# - DOS at the Fermi energy: 2.6 states/eV/cell